An optimized crystal structure of Mg4InPd5, computed with PBE.

D(E_F) = 3.78 states/eV per cell
energy of formation = -0.6916 eV/atom
spin magnetization = 0.000 μB/f.u.

a = 3.213 Å, b = 3.213 Å, c = 15.994 Å
α = 90.00°, β = 90.00°, γ = 90.00°
Fractional coordinates of all 10 atoms:
Mg1 0.000 0.000 0.098
Mg2 0.000 0.000 0.294
Mg3 0.000 0.000 0.706
Mg4 0.000 0.000 0.902
In1 0.000 0.000 0.500
Pd1 0.500 0.500 0.000
Pd2 0.500 0.500 0.195
Pd3 0.500 0.500 0.394
Pd4 0.500 0.500 0.606
Pd5 0.500 0.500 0.805